First-principles (PBE+U) data for an optimized crystal structure of Be2FeTeF, as listed in Alexandria.

Cell and atoms, written as POSCAR:
```
Be2FeTeF
1.0
4.494 0.000 0.000
0.000 3.829 0.000
0.000 0.000 4.494
Be Te Fe F
2 1 1 1
Direct
0.000 0.000 0.500
0.500 0.000 0.000
0.500 0.500 0.500
0.000 0.000 0.000
0.000 0.500 0.000
```

Properties
- D(E_F) (states/eV/atom) = 0.2915
- raw total energy (eV per atom) = -3.358